Entry 1:
Crystalline KSrCl2 at its relaxed geometry. Source: Alexandria, functional GGA-PBE.

Unit cell a=8.710 b=8.710 c=8.710 alpha=27.85 beta=27.85 gamma=27.85
Last column: magnetic moment on the atom in μB.
Positions (direct):
Sr 0.750 0.750 0.750  0.14
K 0.250 0.250 0.250  0.00
Cl 0.504 0.504 0.504  0.02
Cl 0.996 0.996 0.996  0.02

Computed properties:
Crystal system ... trigonal
Space-group type ... R-3m (166)
Magnetic moment ... 0.655 μB per cell
Energy relative to the elements, uncorrected ... -1.71 eV/atom


Entry 2:
Crystalline K6SrCl8 at its relaxed geometry. Source: Alexandria, functional GGA-PBE.

Unit cell a=9.024 b=9.024 c=9.024 alpha=60.00 beta=60.00 gamma=60.00
Positions (direct):
Cl 0.227 0.773 0.227
Cl 0.250 0.250 0.250
Cl 0.227 0.773 0.773
Cl 0.773 0.773 0.227
Cl 0.773 0.227 0.227
Cl 0.227 0.227 0.773
Cl 0.750 0.750 0.750
Cl 0.773 0.227 0.773
K 0.000 0.500 0.500
K 0.500 0.500 0.000
K 0.500 0.000 0.500
K 0.000 0.000 0.500
K 0.500 0.000 0.000
K 0.000 0.500 0.000
Sr 0.000 0.000 0.000

Computed properties:
Crystal system ... cubic
Space-group type ... Fm-3m (225)
Magnetic moment ... 0.000 μB per cell
Energy relative to the elements, uncorrected ... -2.07 eV/atom


| no. | DOS(E_F) (states/eV/atom) |
| --- | --- |
| 1 | 0.3440 |
| 2 | 0.0000 |